CuRuSe2 | Alexandria via LeMat-Bulk | PBE | relaxed; SG = R-3m (166); electronic total energy = -0.3446 Ry per atom; formation energy without anion corrections = 0.40 eV per atom
1.0
1.8322 0.0000 8.1202
-0.9161 1.5867 8.1202
-0.9161 -1.5867 8.1202
Ru Se Cu
1 2 1
Direct
0.0000 0.0000 0.0000
0.0968 0.0968 0.0968
0.9032 0.9032 0.9032
0.5000 0.5000 0.5000